Entry from Alexandria: a geometry-optimized ThGa9Ru2 structure (PBE).

abc: 7.5568 8.2984 8.2984
angles: 78.04 62.91 62.91
Last column: nearest neighbours and their distance in Å.
Sites, in units of the cell vectors:
Ga: 0.9999 0.0000 0.0000  4 Ru 2.78, 8 Ga 2.88
Ga: 0.0223 0.9131 0.6710  4 Ga 2.53-2.75, 2 Ru 2.60-2.70
Ga: 0.0644 0.3290 0.9133  4 Ga 2.53-2.75, 2 Ru 2.60-2.70
Ga: 0.4433 0.4133 0.8290  4 Ga 2.53-2.75, 2 Ru 2.60-2.70
Ga: 0.7501 0.5000 0.5000  4 Ru 2.78, 8 Ga 2.88
Ga: 0.6063 0.3290 0.0869  4 Ga 2.53-2.75, 2 Ru 2.60-2.70
Ga: 0.1437 0.4131 0.1710  4 Ga 2.53-2.75, 2 Ru 2.60-2.70
Ga: 0.1437 0.1710 0.4131  4 Ga 2.53-2.75, 2 Ru 2.60-2.70
Ga: 0.3067 0.6710 0.0867  4 Ga 2.53-2.75, 2 Ru 2.60-2.70
Ga: 0.0644 0.9133 0.3290  4 Ga 2.53-2.75, 2 Ru 2.60-2.70
Ga: 0.6856 0.1710 0.5867  4 Ga 2.53-2.75, 2 Ru 2.60-2.70
Ga: 0.6063 0.0869 0.3290  4 Ga 2.53-2.75, 2 Ru 2.60-2.70
Ga: 0.3067 0.0867 0.6710  4 Ga 2.53-2.75, 2 Ru 2.60-2.70
Ga: 0.0223 0.6710 0.9131  4 Ga 2.53-2.75, 2 Ru 2.60-2.70
Ga: 0.7277 0.5869 0.8290  4 Ga 2.53-2.75, 2 Ru 2.60-2.70
Ga: 0.7277 0.8290 0.5869  4 Ga 2.53-2.75, 2 Ru 2.60-2.70
Ga: 0.4433 0.8290 0.4133  4 Ga 2.53-2.75, 2 Ru 2.60-2.70
Ga: 0.6856 0.5867 0.1710  4 Ga 2.53-2.75, 2 Ru 2.60-2.70
Ru: 0.8750 0.7500 0.2500  10 Ga 2.60-2.78
Ru: 0.3750 0.7500 0.7500  10 Ga 2.60-2.78
Ru: 0.8750 0.2500 0.2500  10 Ga 2.60-2.78
Ru: 0.8750 0.2500 0.7500  10 Ga 2.60-2.78
Th: 0.2496 0.5000 0.5000  16 Ga 3.34-3.46
Th: 0.5004 0.0000 0.0000  16 Ga 3.34-3.46

The total energy comes out at -4.70 eV per atom. As for the space-group type: Imma, No. 74. The crystal system is orthorhombic.

---

Entry from Alexandria: a geometry-optimized Pt4Au2F structure (PBE).

abc: 4.1919 4.1919 7.7243
angles: 74.26 74.26 90.00
Last column: nearest neighbours and their distance in Å.
Sites, in units of the cell vectors:
Pt: 0.1833 0.1833 0.6333  1 Au 2.60, 1 F 2.62
Pt: 0.0000 0.5000 0.0000  2 F 2.10
Pt: 0.5000 0.0000 0.0000  2 F 2.10
Pt: 0.8167 0.8167 0.3667  1 Au 2.60, 1 F 2.62
F: 0.0000 0.0000 0.0000  4 Pt 2.10
Au: 0.3658 0.3658 0.2685  5 Pt 2.60-2.84
Au: 0.6342 0.6342 0.7315  5 Pt 2.60-2.84

As for the formation energy from raw total energies: 0.694 eV/atom. As for the space-group type: I4/mmm, No. 139. The crystal system is tetragonal.

---

Entry from Alexandria: a geometry-optimized Si3ICl structure (PBE).

abc: 4.9851 4.9851 4.9851
angles: 90.00 90.00 90.00
Last column: nearest neighbours and their distance in Å.
Sites, in units of the cell vectors:
I: 0.5000 0.5000 0.5000  12 Si 3.52
Si: 0.0000 0.0000 0.5000  2 Cl 2.49
Si: 0.5000 0.0000 0.0000  2 Cl 2.49
Si: 0.0000 0.5000 0.0000  2 Cl 2.49
Cl: 0.0000 0.0000 0.0000  6 Si 2.49

As for the formation energy from raw total energies: 1.271 eV/atom. As for the space-group type: Pm-3m, No. 221. The crystal system is cubic.

---

Calculated total moment (Bohr magnetons per cell), listed in the same order as above: 0.0 0.0 0.0
Calculated Fermi-level density of states (states/eV/cell), listed in the same order as above: 5.47 12.34 7.99
Calculated volume (A^3/atom), listed in the same order as above: 17.19 17.91 24.78